*i*
The following is a DFT calculation (PBE-GGA) of MgGa6Ag5 after structural relaxation.

Lattice parameters (Å, degrees): 6.402 6.402 5.381 98.78 98.78 88.02
Fractional coordinates of all 12 atoms:
Mg 0.000 0.000 0.000
Ga 0.086 0.423 0.250
Ga 0.254 0.254 0.743
Ga 0.423 0.086 0.250
Ga 0.577 0.914 0.750
Ga 0.746 0.746 0.257
Ga 0.914 0.577 0.750
Ag 0.166 0.834 0.500
Ag 0.330 0.670 0.000
Ag 0.500 0.500 0.500
Ag 0.670 0.330 0.000
Ag 0.834 0.166 0.500

Output
Space-group type: C2/m, No. 12
N(E_F): 0.23 states/eV per atom
Total moment: 0.00 μB/cell

---

*ii*
The following is a DFT calculation (PBE-GGA) of MgGa6Ag5 after structural relaxation.

Lattice parameters (Å, degrees): 6.521 6.521 8.433 91.92 91.92 142.78
Fractional coordinates of all 12 atoms:
Mg 0.000 0.000 0.000
Ga 0.164 0.828 0.253
Ga 0.172 0.836 0.747
Ga 0.496 0.496 0.746
Ga 0.504 0.504 0.254
Ga 0.828 0.164 0.253
Ga 0.836 0.172 0.747
Ag 0.000 0.000 0.500
Ag 0.333 0.667 0.500
Ag 0.334 0.666 0.000
Ag 0.666 0.334 0.000
Ag 0.667 0.333 0.500

Output
Space-group type: C2/m, No. 12
N(E_F): 0.29 states/eV per atom
Total moment: 0.00 μB/cell

---

Top of the stability list: *i*, leading by 21 meV/atom.

---

*i*
The following is a DFT calculation (PBE-GGA) of MnGa2Ag2 after structural relaxation.

Lattice parameters (Å, degrees): 7.020 7.020 7.020 147.78 147.78 46.22
Fractional coordinates of all 5 atoms:
Mn 0.000 0.000 0.000
Ga 0.405 0.405 0.000
Ga 0.595 0.595 0.000
Ag 0.250 0.750 0.500
Ag 0.750 0.250 0.500

Output
Space-group type: I4/mmm, No. 139
N(E_F): 0.57 states/eV per atom
Total moment: 3.94 μB/cell

---

*ii*
The following is a DFT calculation (PBE-GGA) of MnGa2Ag2 after structural relaxation.

Lattice parameters (Å, degrees): 6.795 6.795 3.804 90.00 90.00 90.00
Fractional coordinates of all 10 atoms:
Mn 0.000 0.000 0.000
Mn 0.500 0.500 0.000
Ga 0.141 0.359 0.000
Ga 0.359 0.859 0.000
Ga 0.641 0.141 0.000
Ga 0.859 0.641 0.000
Ag 0.163 0.663 0.500
Ag 0.337 0.163 0.500
Ag 0.663 0.837 0.500
Ag 0.837 0.337 0.500

Output
Space-group type: P4/mbm, No. 127
N(E_F): 0.64 states/eV per atom
Total moment: 7.33 μB/cell

---

Top of the stability list: *ii*, leading by 65 meV/atom.

---

*i*
The following is a DFT calculation (PBE-GGA) of Ga2AgMo after structural relaxation.

Lattice parameters (Å, degrees): 4.482 4.482 4.482 60.00 60.00 60.00
Fractional coordinates of all 4 atoms:
Ga 0.250 0.250 0.250
Ga 0.750 0.750 0.750
Ag 0.000 0.000 0.000
Mo 0.500 0.500 0.500

Output
Space-group type: Fm-3m, No. 225
N(E_F): 0.77 states/eV per atom
Total moment: 0.00 μB/cell

---

*ii*
The following is a DFT calculation (PBE-GGA) of Ga2AgMo after structural relaxation.

Lattice parameters (Å, degrees): 4.280 4.280 3.454 90.00 90.00 90.00
Fractional coordinates of all 4 atoms:
Ga 0.000 0.500 0.000
Ga 0.500 0.000 0.000
Ag 0.000 0.000 0.500
Mo 0.500 0.500 0.500

Output
Space-group type: P4/mmm, No. 123
N(E_F): 0.69 states/eV per atom
Total moment: 0.00 μB/cell

---

*iii*
The following is a DFT calculation (PBE-GGA) of Ga2AgMo after structural relaxation.

Lattice parameters (Å, degrees): 5.717 5.717 5.717 104.85 104.85 119.18
Fractional coordinates of all 8 atoms:
Ga 0.121 0.625 0.996
Ga 0.375 0.371 0.496
Ga 0.629 0.125 0.004
Ga 0.875 0.879 0.504
Ag 0.000 0.000 0.000
Ag 0.750 0.250 0.500
Mo 0.250 0.750 0.500
Mo 0.500 0.500 0.000

Output
Space-group type: I-42d, No. 122
N(E_F): 0.69 states/eV per atom
Total moment: 1.65 μB/cell

---

Top of the stability list: *ii*, leading by 187 meV/atom.

---

*i*
The following is a DFT calculation (PBE-GGA) of GaAgMo3 after structural relaxation.

Lattice parameters (Å, degrees): 4.794 4.794 4.794 90.00 90.00 90.00
Fractional coordinates of all 5 atoms:
Ga 0.000 0.000 0.000
Ag 0.500 0.500 0.500
Mo 0.000 0.500 0.500
Mo 0.500 0.000 0.500
Mo 0.500 0.500 0.000

Output
Space-group type: Pm-3m, No. 221
N(E_F): 1.83 states/eV per atom
Total moment: 0.00 μB/cell

---

*ii*
The following is a DFT calculation (PBE-GGA) of GaAgMo3 after structural relaxation.

Lattice parameters (Å, degrees): 4.603 4.603 4.603 90.00 90.00 90.00
Fractional coordinates of all 5 atoms:
Ga 0.000 0.000 0.000
Ag 0.500 0.500 0.500
Mo 0.000 0.000 0.500
Mo 0.000 0.500 0.000
Mo 0.500 0.000 0.000

Output
Space-group type: Pm-3m, No. 221
N(E_F): 1.29 states/eV per atom
Total moment: 0.00 μB/cell

---

Top of the stability list: *ii*, leading by 780 meV/atom.

---

*i*
The following is a DFT calculation (PBE-GGA) of Ga2AgMo2 after structural relaxation.

Lattice parameters (Å, degrees): 6.746 6.746 3.510 90.00 90.00 90.00
Fractional coordinates of all 10 atoms:
Ga 0.131 0.369 0.000
Ga 0.369 0.869 0.000
Ga 0.631 0.131 0.000
Ga 0.869 0.631 0.000
Ag 0.000 0.000 0.000
Ag 0.500 0.500 0.000
Mo 0.168 0.668 0.500
Mo 0.332 0.168 0.500
Mo 0.668 0.832 0.500
Mo 0.832 0.332 0.500

Output
Space-group type: P4/mbm, No. 127
N(E_F): 0.97 states/eV per atom
Total moment: 0.00 μB/cell

---

*ii*
The following is a DFT calculation (PBE-GGA) of Ga2AgMo2 after structural relaxation.

Lattice parameters (Å, degrees): 7.425 7.425 3.092 90.00 90.00 90.00
Fractional coordinates of all 10 atoms:
Ga 0.181 0.319 0.000
Ga 0.319 0.819 0.000
Ga 0.681 0.181 0.000
Ga 0.819 0.681 0.000
Ag 0.000 0.000 0.500
Ag 0.500 0.500 0.500
Mo 0.114 0.614 0.500
Mo 0.386 0.114 0.500
Mo 0.614 0.886 0.500
Mo 0.886 0.386 0.500

Output
Space-group type: P4/mbm, No. 127
N(E_F): 0.68 states/eV per atom
Total moment: 0.00 μB/cell

---

Top of the stability list: *ii*, leading by 27 meV/atom.

---

*i*
The following is a DFT calculation (PBE-GGA) of GaAg2N2 after structural relaxation.

Lattice parameters (Å, degrees): 5.267 5.267 5.267 128.19 128.19 76.32
Fractional coordinates of all 5 atoms:
Ga 0.000 0.000 0.000
Ag 0.250 0.750 0.500
Ag 0.750 0.250 0.500
N 0.430 0.430 0.000
N 0.570 0.570 0.000

Output
Space-group type: I4/mmm, No. 139
N(E_F): 0.44 states/eV per atom
Total moment: 0.00 μB/cell

---

*ii*
The following is a DFT calculation (PBE-GGA) of GaAg2N2 after structural relaxation.

Lattice parameters (Å, degrees): 5.541 5.541 5.956 90.00 90.00 90.00
Fractional coordinates of all 10 atoms:
Ga 0.000 0.000 0.000
Ga 0.500 0.500 0.000
Ag 0.191 0.309 0.500
Ag 0.309 0.809 0.500
Ag 0.691 0.191 0.500
Ag 0.809 0.691 0.500
N 0.074 0.574 0.000
N 0.426 0.074 0.000
N 0.574 0.926 0.000
N 0.926 0.426 0.000

Output
Space-group type: P4/mbm, No. 127
N(E_F): 0.51 states/eV per atom
Total moment: 0.00 μB/cell

---

Top of the stability list: *ii*, leading by 98 meV/atom.

---

*i*
The following is a DFT calculation (PBE-GGA) of GaAg2N after structural relaxation.

Lattice parameters (Å, degrees): 7.129 7.129 7.129 137.46 137.46 61.74
Fractional coordinates of all 8 atoms:
Ga 0.000 0.000 0.000
Ga 0.750 0.250 0.500
Ag 0.260 0.625 0.135
Ag 0.375 0.510 0.635
Ag 0.490 0.125 0.865
Ag 0.875 0.740 0.365
N 0.250 0.750 0.500
N 0.500 0.500 0.000

Output
Space-group type: I-42d, No. 122
N(E_F): 0.00 states/eV per atom
Total moment: 0.00 μB/cell

---

*ii*
The following is a DFT calculation (PBE-GGA) of GaAg2N after structural relaxation.

Lattice parameters (Å, degrees): 4.359 4.359 4.359 60.00 60.00 60.00
Fractional coordinates of all 4 atoms:
Ga 0.000 0.000 0.000
Ag 0.250 0.250 0.250
Ag 0.750 0.750 0.750
N 0.500 0.500 0.500

Output
Space-group type: Fm-3m, No. 225
N(E_F): 0.09 states/eV per atom
Total moment: 0.00 μB/cell

---

Top of the stability list: *i*, leading by 96 meV/atom.

---

*i*
The following is a DFT calculation (PBE-GGA) of GaAgTeN2 after structural relaxation.

Lattice parameters (Å, degrees): 3.979 3.979 6.102 90.00 90.00 90.00
Fractional coordinates of all 5 atoms:
Ga 0.000 0.000 0.000
Ag 0.500 0.500 0.500
Te 0.000 0.000 0.500
N 0.000 0.500 0.000
N 0.500 0.000 0.000

Output
Space-group type: P4/mmm, No. 123
N(E_F): 0.29 states/eV per atom
Total moment: 3.34 μB/cell

---

*ii*
The following is a DFT calculation (PBE-GGA) of GaAgTeN2 after structural relaxation.

Lattice parameters (Å, degrees): 4.131 4.131 6.472 90.00 90.00 90.00
Fractional coordinates of all 5 atoms:
Ga 0.000 0.000 0.000
Ag 0.500 0.500 0.500
Te 0.500 0.500 0.000
N 0.000 0.500 0.500
N 0.500 0.000 0.500

Output
Space-group type: P4/mmm, No. 123
N(E_F): 0.53 states/eV per atom
Total moment: 3.65 μB/cell

---

Top of the stability list: *i*, leading by 440 meV/atom.